Density functional theory data (GGA-PBE) for crystalline Ti2Cu2F at its relaxed geometry.

Cell lengths 7.0566, 7.0566, 7.0566 Å; angles 151.35, 151.35, 40.96 degrees
Element x y z (fractional)
Ti: 0.2500 0.7500 0.5000
Ti: 0.7500 0.2500 0.5000
Cu: 0.0962 0.0962 0.0000
Cu: 0.9038 0.9038 0.0000
F: 0.5000 0.5000 0.0000

## Properties
- calculated total energy (eV per cell) = -25.06
- offset from the most stable computed form (eV/atom) = 0.257
- formation energy from raw total energies (meV per atom) = 158
- crystal system = tetragonal
- total magnetic moment (μB per cell) = 0.0

***

Density functional theory data (GGA-PBE) for crystalline Tb2SiSe6 at its relaxed geometry.

Cell lengths 6.8466, 7.4957, 10.7896 Å; angles 90.00, 127.33, 90.00 degrees
Element x y z (fractional)
Tb: 0.2166 0.1120 0.2451
Tb: 0.2166 0.3880 0.7451
Tb: 0.7834 0.6120 0.2549
Tb: 0.7834 0.8880 0.7549
Si: 0.5000 0.0000 0.0000
Si: 0.5000 0.5000 0.5000
Se: 0.1341 0.1721 0.9357
Se: 0.1341 0.3279 0.4357
Se: 0.2736 0.7066 0.9415
Se: 0.2736 0.7934 0.4415
Se: 0.3850 0.0367 0.7424
Se: 0.3850 0.4633 0.2424
Se: 0.6150 0.5367 0.7576
Se: 0.6150 0.9633 0.2576
Se: 0.7264 0.2066 0.5585
Se: 0.7264 0.2934 0.0585
Se: 0.8659 0.6721 0.5643
Se: 0.8659 0.8279 0.0643

## Properties
- calculated total energy (eV per cell) = -88.92
- formation energy from raw total energies (meV per atom) = -986
- crystal system = monoclinic
- total magnetic moment (μB per cell) = 0.0